1.
The following is a PBEsol calculation of a relaxed PdIN2O crystal, from the Alexandria database.

Its formation energy without anion corrections is 7.4 eV/f.u.

Cell: 3.6234 3.6234 7.7659 Å, 90.00 90.00 90.00°
Closest atoms and distances in Å follow each position.
Element x y z (fractional)
N  0.0000  0.5000  0.0000  2 Pd 1.81
N  0.5000  0.0000  0.0000  2 Pd 1.81
I  0.0000  0.0000  0.5000  4 O 2.56
O  0.5000  0.5000  0.5000  4 I 2.56
Pd  0.0000  0.0000  0.0000  4 N 1.81

---

2.
The following is a PBEsol calculation of a relaxed Cr2CdRh crystal, from the Alexandria database.

The calculation puts the formation energy at 0.4594 eV/atom.

Cell: 2.6358 4.7556 4.7556 Å, 114.02 90.00 90.00°
Closest atoms and distances in Å follow each position.
Element x y z (fractional)
Cd  0.5000  0.5000  0.5000  2 Rh 2.59, 2 Cd 2.64, 8 Cr 2.72
Cr  0.0000  0.5000  0.0000  4 Cr 2.59-2.64, 4 Cd 2.72, 4 Rh 2.72
Cr  0.0000  0.0000  0.5000  4 Cr 2.59-2.64, 4 Rh 2.72, 4 Cd 2.72
Rh  0.5000  0.0000  0.0000  2 Cd 2.59, 2 Rh 2.64, 8 Cr 2.72

---

3.
The following is a PBEsol calculation of a relaxed CdPO3 crystal, from the Alexandria database.

Its formation energy without anion corrections is -5.2 eV/f.u.

Cell: 3.6573 3.6573 3.6573 Å, 90.00 90.00 90.00°
Closest atoms and distances in Å follow each position.
Element x y z (fractional)
O  0.0000  0.5000  0.0000  2 P 1.83
O  0.5000  0.0000  0.0000  2 P 1.83
O  0.0000  0.0000  0.5000  2 P 1.83
P  0.0000  0.0000  0.0000  6 O 1.83
Cd  0.5000  0.5000  0.5000  12 O 2.59

---

The following ρ values (in g/cm³) correspond, in order, to the records above: 4.52, 9.74, 6.50.